Entry 1:
# Fe2CuSe | Alexandria via LeMat-Bulk | meta-GGA SCAN | single point on PBEsol structure
data_Fe2CuSe
_symmetry_space_group_name_H-M 'I m m 2'
_symmetry_Int_Tables_number 44
_cell_length_a 3.1075
_cell_length_b 3.9704
_cell_length_c 8.0233
_cell_angle_alpha 90.00
_cell_angle_beta 90.00
_cell_angle_gamma 90.00
loop_
_symmetry_equiv_pos_as_xyz
'x,y,z'
'-x,-y,z'
'-x,y,z'
'x,-y,z'
'x+1/2,y+1/2,z+1/2'
'-x+1/2,-y+1/2,z+1/2'
'-x+1/2,y+1/2,z+1/2'
'x+1/2,-y+1/2,z+1/2'
loop_
_atom_site_label
_atom_site_fract_x
_atom_site_fract_y
_atom_site_fract_z
_atom_site_occupancy
Fe1 0.0000 0.0000 0.0000 1
Fe2 0.0000 0.5000 0.2565 1
Cu1 0.0000 0.0000 0.4888 1
Se1 0.0000 0.5000 0.7325 1
# total magnetic moment: 10.49 Bohr magnetons per cell
# ρ: 8.53 g/cm³
# uncorrected formation energy: 0.254 eV per atom

Entry 2:
# Ta2RhAu | Alexandria via LeMat-Bulk | meta-GGA SCAN | single point on PBEsol structure
data_Ta2RhAu
_symmetry_space_group_name_H-M 'C m m m'
_symmetry_Int_Tables_number 65
_symmetry_space_group_name_Hall '-C 2 2'
_cell_length_a 5.5551
_cell_length_b 8.0819
_cell_length_c 2.8563
_cell_angle_alpha 90.00
_cell_angle_beta 90.00
_cell_angle_gamma 90.00
loop_
_atom_site_label
_atom_site_fract_x
_atom_site_fract_y
_atom_site_fract_z
_atom_site_occupancy
Ta1 0.2500 0.2500 0.0000 1
Rh1 0.0000 0.0000 0.5000 1
Au1 0.0000 0.5000 0.5000 1
# total magnetic moment: 0.00 Bohr magnetons per cell
# ρ: 17.14 g/cm³
# energy of formation from the pure elements: -0.3743 eV/atom

Entry 3:
# LiMgIr2 | Alexandria via LeMat-Bulk | meta-GGA SCAN | single point on PBEsol structure
data_LiMgIr2
_symmetry_space_group_name_H-M 'I -4 2 d'
_symmetry_Int_Tables_number 122
_symmetry_space_group_name_Hall 'I -4 2bw'
_cell_length_a 7.0433
_cell_length_b 7.0433
_cell_length_c 4.8029
_cell_angle_alpha 90.00
_cell_angle_beta 90.00
_cell_angle_gamma 90.00
loop_
_atom_site_label
_atom_site_fract_x
_atom_site_fract_y
_atom_site_fract_z
_atom_site_occupancy
Li1 0.0000 0.0000 0.0000 1
Mg1 0.0000 0.0000 0.5000 1
Ir1 0.2038 0.2500 0.1250 1
# total magnetic moment: 0.00 Bohr magnetons per cell
# ρ: 11.59 g/cm³
# energy of formation from the pure elements: 0.2541 eV/atom